Entry 1:
Material: Li2CrAu
Method: DFT, meta-GGA SCAN
State: single point on PBEsol structure

The space group is No. 225. Its density of states at the Fermi level is 1.282 states/eV/f.u. Its total moment is 1.14 μB per atom.

```
Li2CrAu
1.0
6.119 0.000 0.000
0.000 6.119 0.000
0.000 0.000 6.119
Li Cr Au
8 4 4
Cartesian
1.530 1.530 1.530 Li
1.530 1.530 4.589 Li
1.530 4.589 1.530 Li
1.530 4.589 4.589 Li
4.589 1.530 1.530 Li
4.589 1.530 4.589 Li
4.589 4.589 1.530 Li
4.589 4.589 4.589 Li
0.000 0.000 0.000 Cr
0.000 3.060 3.060 Cr
3.060 0.000 3.060 Cr
3.060 3.060 0.000 Cr
0.000 0.000 3.060 Au
0.000 3.060 0.000 Au
3.060 0.000 0.000 Au
3.060 3.060 3.060 Au
```

Entry 2:
Material: BaCa3Rh
Method: DFT, meta-GGA SCAN
State: single point on PBEsol structure

The space group is No. 194. Its density of states at the Fermi level is 3.014 states/eV/f.u. Its total moment is 0.06 μB per atom.

```
BaCa3Rh
1.0
8.123 0.000 0.000
-4.061 7.035 0.000
0.000 0.000 6.281
Ba Ca Rh
2 6 2
Cartesian
0.000 4.690 1.570 Ba
4.061 2.345 4.711 Ba
0.000 2.267 4.711 Ca
-2.098 5.901 4.711 Ca
1.963 1.133 1.570 Ca
2.098 5.901 4.711 Ca
6.160 1.133 1.570 Ca
4.061 4.768 1.570 Ca
0.000 0.000 0.000 Rh
0.000 0.000 3.140 Rh
```

Entry 3:
Material: Al7CoCu2
Method: DFT, meta-GGA SCAN
State: single point on PBEsol structure

The space group is No. 128. Its density of states at the Fermi level is 2.570 states/eV/f.u. Its total moment is 0.00 μB per atom.

```
Al7CoCu2
1.0
6.254 0.000 0.000
0.000 6.254 0.000
0.000 0.000 14.604
Al Co Cu
28 4 8
Cartesian
0.000 0.000 1.921 Al
0.000 0.000 12.684 Al
0.539 1.848 5.852 Al
0.539 1.848 8.752 Al
0.975 4.103 3.651 Al
0.975 4.103 10.953 Al
1.279 2.588 1.450 Al
1.279 2.588 13.154 Al
1.848 5.715 5.852 Al
1.848 5.715 8.752 Al
2.152 0.975 3.651 Al
2.152 0.975 10.953 Al
2.588 4.975 1.450 Al
2.588 4.975 13.154 Al
3.127 3.127 5.382 Al
3.127 3.127 9.223 Al
3.666 1.279 1.450 Al
3.666 1.279 13.154 Al
4.103 5.279 3.651 Al
4.103 5.279 10.953 Al
4.406 0.539 5.852 Al
4.406 0.539 8.752 Al
4.975 3.666 1.450 Al
4.975 3.666 13.154 Al
5.279 2.152 3.651 Al
5.279 2.152 10.953 Al
5.715 4.406 5.852 Al
5.715 4.406 8.752 Al
0.000 0.000 4.354 Co
0.000 0.000 10.250 Co
3.127 3.127 2.948 Co
3.127 3.127 11.656 Co
0.571 4.561 0.000 Cu
1.434 3.698 7.302 Cu
1.693 0.571 0.000 Cu
2.556 1.434 7.302 Cu
3.698 4.820 7.302 Cu
4.561 5.683 0.000 Cu
4.820 2.556 7.302 Cu
5.683 1.693 0.000 Cu
```

Entry 4:
Material: SnP3Pb
Method: DFT, meta-GGA SCAN
State: single point on PBEsol structure

The space group is No. 221. Its density of states at the Fermi level is 4.626 states/eV/f.u. Its total moment is 0.00 μB per atom.

```
SnP3Pb
1.0
4.989 0.000 0.000
0.000 4.989 0.000
0.000 0.000 4.989
Sn P Pb
1 3 1
Cartesian
0.000 0.000 0.000 Sn
0.000 0.000 2.494 P
0.000 2.494 0.000 P
2.494 0.000 0.000 P
2.494 2.494 2.494 Pb
```

Entry 5:
Material: BeCuI2N
Method: DFT, meta-GGA SCAN
State: single point on PBEsol structure

As for the raw formation energy: 0.605 eV per atom. The space group is No. 123. Its density of states at the Fermi level is 2.876 states/eV/f.u. Its total moment is 0.00 μB per atom.

```
BeCuI2N
1.0
5.620 0.000 0.000
0.000 5.620 0.000
0.000 0.000 3.068
Be Cu I N
1 1 2 1
Cartesian
0.000 0.000 0.000 Be
2.810 2.810 1.534 Cu
0.000 2.810 0.000 I
2.810 0.000 0.000 I
0.000 0.000 1.534 N
```

Entry 6:
Material: EuSnF7
Method: DFT, meta-GGA SCAN
State: single point on PBEsol structure

As for the raw formation energy: -3.135 eV per atom. The space group is No. 4. Its total moment is 0.67 μB per atom.

```
EuSnF7
1.0
6.052 0.000 0.000
0.000 5.746 0.000
-1.750 0.000 8.059
Eu Sn F
2 2 14
Cartesian
0.633 0.000 1.520 Eu
3.669 2.873 6.539 Eu
0.607 0.046 5.840 Sn
3.694 2.919 2.220 Sn
0.213 4.013 0.169 F
-0.934 4.555 5.703 F
-0.561 1.652 5.715 F
0.760 0.006 3.874 F
0.518 0.058 7.819 F
2.151 4.162 2.164 F
2.369 1.438 2.102 F
1.933 4.311 5.957 F
2.151 1.289 5.895 F
3.784 2.931 0.241 F
3.542 2.879 4.185 F
4.863 4.525 2.344 F
5.235 1.683 2.357 F
4.089 1.140 7.890 F
```

Calculated values (eV per atom) of E_tot for the records, taken in order: -23.30, -20.70, -10.52, -27.62, -19.86, -15.85.